First-principles (PBE) data for a geometry-optimized LiErH2 structure, as listed in the Alexandria database.

Results
energy: -3.569 eV per atom
space group: No. 166

Lattice parameters (Å, degrees): 5.661 5.661 5.661 33.06 33.06 33.06
Positions (direct):
1 Li 0.000 0.000 0.000
2 Er 0.500 0.500 0.500
3 H 0.256 0.256 0.256
4 H 0.744 0.744 0.744

***

First-principles (PBE) data for a geometry-optimized AcBiAs2 structure, as listed in the Alexandria database.

Results
space group: No. 225
polymorph energy (0 for the lowest one): 208 meV/atom
formation enthalpy at 0 K: -0.51 eV/atom

Lattice parameters (Å, degrees): 5.362 5.362 5.362 60.00 60.00 60.00
Positions (direct):
1 Ac 0.000 0.000 0.000
2 Bi 0.500 0.500 0.500
3 As 0.250 0.250 0.250
4 As 0.750 0.750 0.750

***

First-principles (PBE) data for a geometry-optimized Cd3IrO6 structure, as listed in the Alexandria database.

Results
space group: No. 148
polymorph energy (0 for the lowest one): 0 meV/atom
energy relative to the elements, uncorrected: -845 meV per atom

Lattice parameters (Å, degrees): 6.544 6.544 6.544 90.53 90.53 90.53
Positions (direct):
1 Cd 0.050 0.749 0.561
2 Cd 0.251 0.439 0.950
3 Cd 0.439 0.950 0.251
4 Cd 0.561 0.050 0.749
5 Cd 0.749 0.561 0.050
6 Cd 0.950 0.251 0.439
7 Ir 0.000 0.000 0.000
8 Ir 0.500 0.500 0.500
9 O 0.046 0.715 0.918
10 O 0.082 0.954 0.285
11 O 0.217 0.434 0.569
12 O 0.285 0.082 0.954
13 O 0.431 0.783 0.566
14 O 0.434 0.569 0.217
15 O 0.566 0.431 0.783
16 O 0.569 0.217 0.434
17 O 0.715 0.918 0.046
18 O 0.783 0.566 0.431
19 O 0.918 0.046 0.715
20 O 0.954 0.285 0.082

***

First-principles (PBE) data for a geometry-optimized ZnCr3Ru structure, as listed in the Alexandria database.

Results
space group: No. 221
formation enthalpy at 0 K: 1.26 eV/atom

Lattice parameters (Å, degrees): 4.654 4.654 4.654 90.00 90.00 90.00
Positions (direct):
1 Zn 0.000 0.000 0.000
2 Cr 0.000 0.500 0.500
3 Cr 0.500 0.000 0.500
4 Cr 0.500 0.500 0.000
5 Ru 0.500 0.500 0.500

***

First-principles (PBE) data for a geometry-optimized ZnCrCd2Hg structure, as listed in the Alexandria database.

Results
space group: No. 123
formation enthalpy at 0 K: 0.65 eV/atom

Lattice parameters (Å, degrees): 5.018 5.018 5.086 90.00 90.00 90.00
Positions (direct):
1 Zn 0.000 0.000 0.000
2 Cr 0.500 0.500 0.500
3 Cd 0.000 0.500 0.000
4 Cd 0.500 0.000 0.000
5 Hg 0.000 0.000 0.500

***

First-principles (PBE) data for a geometry-optimized HgRu2W structure, as listed in the Alexandria database.

Results
space group: No. 99
polymorph energy (0 for the lowest one): 203 meV/atom
formation enthalpy at 0 K: 0.42 eV/atom

Lattice parameters (Å, degrees): 2.780 2.780 8.325 90.00 90.00 90.00
Positions (direct):
1 Hg 0.000 0.000 0.000
2 Ru 0.000 0.000 0.472
3 Ru 0.500 0.500 0.266
4 W 0.500 0.500 0.721

***

First-principles (PBE) data for a geometry-optimized CaLaHo2 structure, as listed in the Alexandria database.

Results
space group: No. 123
polymorph energy (0 for the lowest one): 59 meV/atom
formation enthalpy at 0 K: 0.13 eV/atom

Lattice parameters (Å, degrees): 5.108 5.108 5.297 90.00 90.00 90.00
Positions (direct):
1 Ca 0.000 0.000 0.000
2 La 0.500 0.500 0.000
3 Ho 0.000 0.500 0.500
4 Ho 0.500 0.000 0.500

***

First-principles (PBE) data for a geometry-optimized Cr6AsN structure, as listed in the Alexandria database.

Results
space group: No. 2
energy relative to the elements, uncorrected: 44 meV per atom

Lattice parameters (Å, degrees): 4.465 4.512 4.903 98.32 103.82 102.04
Positions (direct):
1 Cr 0.095 0.240 0.206
2 Cr 0.227 0.802 0.423
3 Cr 0.295 0.382 0.770
4 Cr 0.705 0.618 0.230
5 Cr 0.773 0.198 0.577
6 Cr 0.905 0.760 0.794
7 As 0.500 0.000 0.000
8 N 0.500 0.500 0.500

***

It is found that the spin magnetization values, taken in the order of the records, are 0.00, 0.00, 2.52, 9.17, 4.93, 0.00, 0.00, 0.00 μB per formula unit.